1.
The following is a PBE-GGA calculation of an optimized crystal structure of KGaGe, from the Alexandria database.

Output
Calculated formation energy   -0.10 eV per formula unit
Crystal system   monoclinic
Calculated density   3.380 g cm⁻³
DOS at the Fermi energy   1.308 states/eV/f.u.

Unit cell a=6.8937 b=6.8937 c=7.5140 alpha=114.99 beta=114.99 gamma=33.82
Fractional positions:
K 0.0000 0.0000 0.0000
K 0.0000 0.0000 0.5000
Ga 0.2521 0.2521 0.8983
Ga 0.7479 0.7479 0.1017
Ge 0.2978 0.2978 0.6044
Ge 0.7022 0.7022 0.3956


2.
The following is a PBE-GGA calculation of an optimized crystal structure of TlSbBr2, from the Alexandria database.

Output
Crystal system   trigonal
Formation energy from raw total energies   -0.1407 eV/atom
Calculated density   6.164 g cm⁻³
DOS at the Fermi energy   2.028 states/eV/f.u.

Unit cell a=11.1555 b=11.1555 c=11.1555 alpha=19.18 beta=19.18 gamma=19.18
Fractional positions:
Tl 0.0000 0.0000 0.0000
Sb 0.2325 0.2325 0.2325
Br 0.5010 0.5010 0.5010
Br 0.7284 0.7284 0.7284


3.
The following is a PBE-GGA calculation of an optimized crystal structure of BaGaNi3, from the Alexandria database.

Output
Calculated formation energy   8.33 eV per formula unit
E above lowest polymorph   1450 meV/atom
Crystal system   cubic
Calculated density   5.234 g cm⁻³
DOS at the Fermi energy   6.095 states/eV/f.u.

Unit cell a=4.9535 b=4.9535 c=4.9535 alpha=90.00 beta=90.00 gamma=90.00
Fractional positions:
Ba 0.0000 0.0000 0.0000
Ga 0.5000 0.5000 0.5000
Ni 0.0000 0.0000 0.5000
Ni 0.0000 0.5000 0.0000
Ni 0.5000 0.0000 0.0000